No. 1
# Tb5PmY2Er

Tb5PmY2Er after structural relaxation (PBE-GGA, Alexandria via LeMat-Bulk).

Summary:
As for the crystal system: orthorhombic. The value obtained for the final energy is -0.180 hartree per atom. Its formation energy from the elements is 1.4 eV per formula unit. Its space group is Cmc2_1 (36).

a b c (Å): 10.3158 10.3158 10.5875
angles (deg): 90.00 90.00 148.29
Closest atoms and distances in Å follow each position.
Positions (direct):
Tb: 0.0192 0.9808 0.5000  2 Pm 3.19, 3 Y 3.41-3.56
Tb: 0.2823 0.7177 0.7880  1 Pm 3.04, 1 Y 3.34
Tb: 0.2982 0.7018 0.1836  4 Tb 3.42-3.79, 3 Er 3.50-3.75, 3 Y 3.52-3.73, 1 Pm 3.54
Tb: 0.3885 0.6115 0.4987  6 Tb 3.48-3.83, 4 Y 3.54-3.60, 1 Er 3.73
Tb: 0.4794 0.5206 0.2151  2 Pm 3.10-3.26
Tb: 0.5206 0.4794 0.7151  2 Pm 3.10-3.26
Tb: 0.6115 0.3885 0.9987  6 Tb 3.48-3.83, 4 Y 3.54-3.60, 1 Er 3.73
Tb: 0.7018 0.2982 0.6836  4 Tb 3.42-3.79, 3 Er 3.50-3.75, 3 Y 3.52-3.73, 1 Pm 3.54
Tb: 0.7177 0.2823 0.2880  1 Pm 3.04, 1 Y 3.34
Tb: 0.9808 0.0192 0.0000  2 Pm 3.19, 3 Y 3.41-3.56
Pm: 0.4151 0.5849 0.9316  5 Tb 3.04-3.26
Pm: 0.5849 0.4151 0.4316  5 Tb 3.04-3.26
Y: 0.1110 0.8890 0.2109  7 Tb 3.41-3.73, 1 Er 3.43, 2 Pm 3.70
Y: 0.1142 0.8858 0.7957  9 Tb 3.34-3.66, 1 Er 3.69
Y: 0.8858 0.1142 0.2957  9 Tb 3.34-3.66, 1 Er 3.69
Y: 0.8890 0.1110 0.7109  7 Tb 3.41-3.73, 1 Er 3.43, 2 Pm 3.70
Er: 0.2007 0.7993 0.4874  2 Y 3.43-3.69, 8 Tb 3.50-3.75, 2 Pm 3.68
Er: 0.7993 0.2007 0.9874  2 Y 3.43-3.69, 8 Tb 3.50-3.75, 2 Pm 3.68



No. 2
# EuLuTlBi

EuLuTlBi after structural relaxation (PBE-GGA, Alexandria via LeMat-Bulk).

Summary:
As for the crystal system: cubic. The value obtained for the final energy is -0.209 hartree per atom. Its formation energy from the elements is -1.7 eV per formula unit. Its space group is F-43m (216).

a b c (Å): 7.7988 7.7988 7.7988
angles (deg): 90.00 90.00 90.00
Closest atoms and distances in Å follow each position.
Positions (direct):
Eu: 0.0000 0.0000 0.0000  4 Bi 3.38, 4 Tl 3.38
Eu: 0.0000 0.5000 0.5000  4 Bi 3.38, 4 Tl 3.38
Eu: 0.5000 0.0000 0.5000  4 Bi 3.38, 4 Tl 3.38
Eu: 0.5000 0.5000 0.0000  4 Bi 3.38, 4 Tl 3.38
Lu: 0.0000 0.0000 0.5000  4 Tl 3.38, 4 Bi 3.38
Lu: 0.0000 0.5000 0.0000  4 Tl 3.38, 4 Bi 3.38
Lu: 0.5000 0.0000 0.0000  4 Tl 3.38, 4 Bi 3.38
Lu: 0.5000 0.5000 0.5000  4 Tl 3.38, 4 Bi 3.38
Tl: 0.2500 0.2500 0.2500  4 Eu 3.38, 4 Lu 3.38
Tl: 0.2500 0.7500 0.7500  4 Eu 3.38, 4 Lu 3.38
Tl: 0.7500 0.2500 0.7500  4 Eu 3.38, 4 Lu 3.38
Tl: 0.7500 0.7500 0.2500  4 Eu 3.38, 4 Lu 3.38
Bi: 0.2500 0.2500 0.7500  4 Lu 3.38, 4 Eu 3.38
Bi: 0.2500 0.7500 0.2500  4 Lu 3.38, 4 Eu 3.38
Bi: 0.7500 0.2500 0.2500  4 Lu 3.38, 4 Eu 3.38
Bi: 0.7500 0.7500 0.7500  4 Lu 3.38, 4 Eu 3.38



No. 3
# CaLaSm2

CaLaSm2 after structural relaxation (PBE-GGA, Alexandria via LeMat-Bulk).

Summary:
As for the crystal system: trigonal. The value obtained for the final energy is -0.142 hartree per atom. Its energy above the most stable polymorph in this dataset is 0.180 eV per atom. Its formation energy from the elements is 0.9 eV per formula unit. Its space group is R-3m (166).

a b c (Å): 3.5712 3.5712 39.2620
angles (deg): 90.00 90.00 120.00
Closest atoms and distances in Å follow each position.
Positions (direct):
Ca: 0.0000 0.0000 0.0000  6 Ca 3.57, 6 Sm 3.76
Ca: 0.3333 0.6667 0.6667  6 Ca 3.57, 6 Sm 3.76
Ca: 0.6667 0.3333 0.3333  6 Ca 3.57, 6 Sm 3.76
La: 0.0000 0.0000 0.5000  2 Sm 3.40, 6 La 3.57
La: 0.3333 0.6667 0.1667  2 Sm 3.40, 6 La 3.57
La: 0.6667 0.3333 0.8333  2 Sm 3.40, 6 La 3.57
Sm: 0.0000 0.0000 0.4134  1 La 3.40, 6 Sm 3.57, 3 Ca 3.76
Sm: 0.0000 0.0000 0.5866  1 La 3.40, 6 Sm 3.57, 3 Ca 3.76
Sm: 0.3333 0.6667 0.0800  1 La 3.40, 6 Sm 3.57, 3 Ca 3.76
Sm: 0.3333 0.6667 0.2533  1 La 3.40, 6 Sm 3.57, 3 Ca 3.76
Sm: 0.6667 0.3333 0.7467  1 La 3.40, 6 Sm 3.57, 3 Ca 3.76
Sm: 0.6667 0.3333 0.9200  1 La 3.40, 6 Sm 3.57, 3 Ca 3.76



No. 4
# LiLaCrTc2

LiLaCrTc2 after structural relaxation (PBE-GGA, Alexandria via LeMat-Bulk).

Summary:
As for the crystal system: tetragonal. The value obtained for the final energy is -0.198 hartree per atom. Its formation energy from the elements is 10.2 eV per formula unit. Its space group is P4/mmm (123).

a b c (Å): 4.7374 4.7374 4.4774
angles (deg): 90.00 90.00 90.00
Closest atoms and distances in Å follow each position.
Positions (direct):
Li: 0.0000 0.0000 0.0000  2 La 2.24
La: 0.0000 0.0000 0.5000  2 Li 2.24, 4 Tc 2.37
Cr: 0.5000 0.5000 0.0000  8 Tc 3.26, 4 Li 3.35
Tc: 0.0000 0.5000 0.5000  2 La 2.37
Tc: 0.5000 0.0000 0.5000  2 La 2.37



No. 5
# DyPaBiO6

DyPaBiO6 after structural relaxation (PBE-GGA, Alexandria via LeMat-Bulk).

Summary:
As for the crystal system: tetragonal. The value obtained for the final energy is -0.294 hartree per atom. Its space group is P4_2nm (102).

a b c (Å): 5.1575 5.1575 10.6410
angles (deg): 90.00 90.00 90.00
Closest atoms and distances in Å follow each position.
Positions (direct):
Dy: 0.0000 0.0000 0.0000  6 O 2.27-2.30
Dy: 0.5000 0.5000 0.5000  6 O 2.27-2.30
Pa: 0.0000 0.0000 0.6656  6 O 2.19-2.20
Pa: 0.5000 0.5000 0.1656  6 O 2.19-2.20
Bi: 0.0000 0.0000 0.3319  6 O 2.28-2.29
Bi: 0.5000 0.5000 0.8319  6 O 2.28-2.29
O: 0.1883 0.1883 0.5036  1 Pa 2.20, 1 Dy 2.27, 1 Bi 2.29
O: 0.1877 0.1877 0.8265  1 Pa 2.19, 1 Bi 2.28, 1 Dy 2.30
O: 0.2001 0.2001 0.1661  1 Pa 2.19, 1 Bi 2.29, 1 Dy 2.29
O: 0.2999 0.7001 0.6661  1 Pa 2.19, 1 Bi 2.29, 1 Dy 2.29
O: 0.3117 0.6883 0.0036  1 Pa 2.20, 1 Dy 2.27, 1 Bi 2.29
O: 0.3123 0.6877 0.3265  1 Pa 2.19, 1 Bi 2.28, 1 Dy 2.30
O: 0.6883 0.3117 0.0036  1 Pa 2.20, 1 Dy 2.27, 1 Bi 2.29
O: 0.6877 0.3123 0.3265  1 Pa 2.19, 1 Bi 2.28, 1 Dy 2.30
O: 0.7001 0.2999 0.6661  1 Pa 2.19, 1 Bi 2.29, 1 Dy 2.29
O: 0.7999 0.7999 0.1661  1 Pa 2.19, 1 Bi 2.29, 1 Dy 2.29
O: 0.8117 0.8117 0.5036  1 Pa 2.20, 1 Dy 2.27, 1 Bi 2.29
O: 0.8123 0.8123 0.8265  1 Pa 2.19, 1 Bi 2.28, 1 Dy 2.30



No. 6
# Ac4NdBi5

Ac4NdBi5 after structural relaxation (PBE-GGA, Alexandria via LeMat-Bulk).

Summary:
As for the crystal system: tetragonal. The value obtained for the final energy is -0.185 hartree per atom. Its energy above the most stable polymorph in this dataset is 0.004 eV per atom. Its formation energy from the elements is -9.8 eV per formula unit. Its space group is I4/mmm (139).

a b c (Å): 17.3942 17.3942 17.3942
angles (deg): 164.02 164.02 22.67
Closest atoms and distances in Å follow each position.
Positions (direct):
Ac: 0.0988 0.0988 0.0000  6 Bi 3.37-3.45
Ac: 0.3011 0.3011 0.0000  6 Bi 3.42-3.48
Ac: 0.6989 0.6989 0.0000  6 Bi 3.42-3.48
Ac: 0.9012 0.9012 0.0000  6 Bi 3.37-3.45
Nd: 0.5000 0.5000 0.0000  6 Bi 3.31-3.42
Bi: 0.0000 0.0000 0.0000  2 Ac 3.37, 4 Nd 3.42
Bi: 0.1998 0.1998 0.0000  6 Ac 3.42-3.45
Bi: 0.4030 0.4030 0.0000  1 Nd 3.31, 5 Ac 3.42-3.48
Bi: 0.5970 0.5970 0.0000  1 Nd 3.31, 5 Ac 3.42-3.48
Bi: 0.8002 0.8002 0.0000  6 Ac 3.42-3.45



No. 7
# MgTe2AsN

MgTe2AsN after structural relaxation (PBE-GGA, Alexandria via LeMat-Bulk).

Summary:
As for the crystal system: tetragonal. The value obtained for the final energy is -0.134 hartree per atom. Its energy above the most stable polymorph in this dataset is 0.000 eV per atom. Its space group is P4/mmm (123).

a b c (Å): 5.7111 5.7111 3.6420
angles (deg): 90.00 90.00 90.00
Closest atoms and distances in Å follow each position.
Positions (direct):
Mg: 0.0000 0.0000 0.0000  8 Te 3.39, 2 Mg 3.64
Te: 0.0000 0.5000 0.5000  2 As 2.86
Te: 0.5000 0.0000 0.5000  2 As 2.86
As: 0.5000 0.5000 0.5000  2 N 1.82
N: 0.5000 0.5000 0.0000  2 As 1.82



No. 8
# TlPtBr2Cl

TlPtBr2Cl after structural relaxation (PBE-GGA, Alexandria via LeMat-Bulk).

Summary:
As for the crystal system: tetragonal. The value obtained for the final energy is -0.116 hartree per atom. Its space group is P4/mmm (123).

a b c (Å): 5.2722 5.2722 4.9226
angles (deg): 90.00 90.00 90.00
Closest atoms and distances in Å follow each position.
Positions (direct):
Tl: 0.0000 0.0000 0.0000  8 Br 3.61, 4 Cl 3.73
Pt: 0.5000 0.5000 0.5000  2 Cl 2.46, 4 Br 2.64
Br: 0.0000 0.5000 0.5000  2 Pt 2.64
Br: 0.5000 0.0000 0.5000  2 Pt 2.64
Cl: 0.5000 0.5000 0.0000  2 Pt 2.46



No. 9
# Pm2HgAs

Pm2HgAs after structural relaxation (PBE-GGA, Alexandria via LeMat-Bulk).

Summary:
As for the crystal system: tetragonal. The value obtained for the final energy is -0.163 hartree per atom. Its energy above the most stable polymorph in this dataset is 0.116 eV per atom. Its formation energy from the elements is -3.3 eV per formula unit. Its space group is P4/mmm (123).

a b c (Å): 3.8284 3.8284 7.0316
angles (deg): 90.00 90.00 90.00
Closest atoms and distances in Å follow each position.
Positions (direct):
Pm: 0.0000 0.0000 0.2315  4 As 3.16, 1 Pm 3.26, 4 Hg 3.30
Pm: 0.0000 0.0000 0.7685  4 As 3.16, 1 Pm 3.26, 4 Hg 3.30
Hg: 0.5000 0.5000 0.5000  8 Pm 3.30, 2 As 3.52
As: 0.5000 0.5000 0.0000  8 Pm 3.16, 2 Hg 3.52



No. 10
# HoSi2Os4

HoSi2Os4 after structural relaxation (PBE-GGA, Alexandria via LeMat-Bulk).

Summary:
As for the crystal system: orthorhombic. The value obtained for the final energy is -0.335 hartree per atom. Its space group is Cmmm (65).

a b c (Å): 3.9832 14.0419 3.9664
angles (deg): 90.00 90.00 90.00
Closest atoms and distances in Å follow each position.
Positions (direct):
Ho: 0.0000 0.0000 0.0000  8 Si 3.05, 8 Os 3.28-3.31
Ho: 0.5000 0.5000 0.0000  8 Si 3.05, 8 Os 3.28-3.31
Si: 0.0000 0.4163 0.5000  1 Si 2.35, 4 Os 2.45-2.47
Si: 0.0000 0.5837 0.5000  1 Si 2.35, 4 Os 2.45-2.47
Si: 0.5000 0.0837 0.5000  1 Si 2.35, 4 Os 2.45-2.47
Si: 0.5000 0.9163 0.5000  1 Si 2.35, 4 Os 2.45-2.47
Os: 0.0000 0.1858 0.5000  2 Si 2.45, 4 Os 2.65-2.69
Os: 0.0000 0.3113 0.0000  2 Si 2.47, 4 Os 2.63-2.65
Os: 0.0000 0.6887 0.0000  2 Si 2.47, 4 Os 2.63-2.65
Os: 0.0000 0.8142 0.5000  2 Si 2.45, 4 Os 2.65-2.69
Os: 0.5000 0.1887 0.0000  2 Si 2.47, 4 Os 2.63-2.65
Os: 0.5000 0.3142 0.5000  2 Si 2.45, 4 Os 2.65-2.69
Os: 0.5000 0.6858 0.5000  2 Si 2.45, 4 Os 2.65-2.69
Os: 0.5000 0.8113 0.0000  2 Si 2.47, 4 Os 2.63-2.65



No. 11
# ZrTiSBr2

ZrTiSBr2 after structural relaxation (PBE-GGA, Alexandria via LeMat-Bulk).

Summary:
As for the crystal system: tetragonal. The value obtained for the final energy is -0.178 hartree per atom. Its space group is P4/mmm (123).

a b c (Å): 5.3373 5.3373 4.9156
angles (deg): 90.00 90.00 90.00
Closest atoms and distances in Å follow each position.
Positions (direct):
Zr: 0.0000 0.0000 0.0000  2 S 2.46, 4 Br 2.67
Ti: 0.5000 0.5000 0.5000  8 Br 3.63, 4 S 3.77
S: 0.0000 0.0000 0.5000  2 Zr 2.46
Br: 0.0000 0.5000 0.0000  2 Zr 2.67
Br: 0.5000 0.0000 0.0000  2 Zr 2.67